[1]
VASP calculation (PBEsol) on an optimized crystal structure of HfCr3Pb.

Calculated values
* DFT total energy: -7.092 eV per atom
* DOS(E_F): 9.09 states/eV/cell
* energy of formation: 942 kJ/mol of formula units
* space group: Pm-3m (221)

Lattice parameters (Å, degrees): 4.917 4.917 4.917 90.00 90.00 90.00
Each line ends with the local moment (μB).
Element x y z (fractional)
Pb1 0.000 0.000 0.000  -0.07
Cr1 0.000 0.500 0.000  3.38
Cr2 0.000 0.000 0.500  3.38
Cr3 0.500 0.000 0.000  3.38
Hf1 0.500 0.500 0.500  -0.53



[2]
VASP calculation (PBEsol) on an optimized crystal structure of HfCrRePb2.

Calculated values
* DFT total energy: -7.157 eV per atom
* DOS(E_F): 4.63 states/eV/cell
* energy of formation: 607 kJ/mol of formula units
* space group: P4/mmm (123)

Lattice parameters (Å, degrees): 4.460 4.973 4.973 90.00 90.00 90.00
Each line ends with the local moment (μB).
Element x y z (fractional)
Pb1 0.000 0.000 0.500  -0.01
Pb2 0.000 0.500 0.000  -0.01
Re1 0.500 0.000 0.000  -0.22
Hf1 0.500 0.500 0.500  0.12
Cr1 0.000 0.000 0.000  1.23



[3]
VASP calculation (PBEsol) on an optimized crystal structure of HfCrPdSe2.

Calculated values
* DFT total energy: -6.147 eV per atom
* DOS(E_F): 3.72 states/eV/cell
* formation energy without anion corrections: 0.734 eV/atom
* space group: P4/mmm (123)

Lattice parameters (Å, degrees): 4.969 4.969 5.069 90.00 90.00 90.00
Each line ends with the local moment (μB).
Element x y z (fractional)
Cr1 0.000 0.000 0.500  3.70
Hf1 0.000 0.000 0.000  -0.05
Se1 0.000 0.500 0.000  0.05
Se2 0.500 0.000 0.000  0.05
Pd1 0.500 0.500 0.500  -0.03



[4]
VASP calculation (PBEsol) on an optimized crystal structure of Hf3CrRe.

Calculated values
* DFT total energy: -10.005 eV per atom
* DOS(E_F): 6.70 states/eV/cell
* energy of formation: 488 kJ/mol of formula units
* space group: Pm-3m (221)

Lattice parameters (Å, degrees): 4.967 4.967 4.967 90.00 90.00 90.00
Each line ends with the local moment (μB).
Element x y z (fractional)
Re1 0.000 0.000 0.000  0.09
Hf1 0.000 0.500 0.000  -0.14
Hf2 0.000 0.000 0.500  -0.14
Hf3 0.500 0.000 0.000  -0.14
Cr1 0.500 0.500 0.500  3.83



[5]
VASP calculation (PBEsol) on an optimized crystal structure of HfCrSbSe2.

Calculated values
* DFT total energy: -6.434 eV per atom
* DOS(E_F): 3.72 states/eV/cell
* formation energy without anion corrections: 0.166 eV/atom
* space group: P4/mmm (123)

Lattice parameters (Å, degrees): 4.478 4.478 5.232 90.00 90.00 90.00
Element x y z (fractional)
Sb1 0.500 0.500 0.500
Hf1 0.000 0.000 0.500
Se1 0.000 0.500 0.000
Se2 0.500 0.000 0.000
Cr1 0.000 0.000 0.000



[6]
VASP calculation (PBEsol) on an optimized crystal structure of SrHfSc2Cr.

Calculated values
* DFT total energy: -5.503 eV per atom
* DOS(E_F): 7.06 states/eV/cell
* energy of formation: 799 kJ/mol of formula units
* space group: P4/mmm (123)

Lattice parameters (Å, degrees): 4.696 4.953 4.953 90.00 90.00 90.00
Each line ends with the local moment (μB).
Element x y z (fractional)
Sc1 0.000 0.000 0.500  -0.23
Sc2 0.000 0.500 0.000  -0.23
Sr1 0.000 0.000 0.000  -0.07
Hf1 0.500 0.500 0.500  -0.32
Cr1 0.500 0.000 0.000  2.83



| no. | spin magnetization (μB/f.u.) |
| --- | --- |
| 1 | 10.2 |
| 2 | 1.2 |
| 3 | 4.3 |
| 4 | 3.9 |
| 5 | 0.0 |
| 6 | 2.0 |